# 1
! TlIn3Cl | the Alexandria database | PBE | relaxed; values from VASP
! **DOS at the Fermi energy**: 0.61 states/eV/atom
! **Offset from the most stable computed form**: 30 kJ/mol of formula units
! **Raw total energy**: -2.329 eV per atom
! **Crystal system**: cubic
! **Formation energy (no corrections)**: 0.1569 eV per atom
! **Density**: 4.9 g cm⁻³
! **Symmetry**: Pm-3m, No. 221
! **Spin magnetization**: 0.00 μB per formula unit
&SYSTEM
  ibrav = 0, nat = 5, ntyp = 3
/
ATOMIC_SPECIES
Tl 204.38 Tl.upf
In 114.82 In.upf
Cl 35.45 Cl.upf
CELL_PARAMETERS angstrom
5.836 0.000 0.000
0.000 5.836 0.000
0.000 0.000 5.836
ATOMIC_POSITIONS crystal
Tl 0.000 0.000 0.000
In 0.000 0.000 0.500
In 0.000 0.500 0.000
In 0.500 0.000 0.000
Cl 0.500 0.500 0.500


# 2
! La6CdIn | the Alexandria database | PBE | relaxed; values from VASP
! **DOS at the Fermi energy**: 1.45 states/eV/atom
! **Offset from the most stable computed form**: 0 kJ/mol of formula units
! **Raw total energy**: -4.372 eV per atom
! **Crystal system**: tetragonal
! **Density**: 6.8 g cm⁻³
! **Symmetry**: P4/mmm, No. 123
! **Formation enthalpy at 0 K**: -0.22 eV/atom
! **Spin magnetization**: 0.00 μB per formula unit
&SYSTEM
  ibrav = 0, nat = 8, ntyp = 3
/
ATOMIC_SPECIES
La 138.91 La.upf
Cd 112.41 Cd.upf
In 114.82 In.upf
CELL_PARAMETERS angstrom
5.076 0.000 0.000
0.000 5.076 0.000
0.000 0.000 10.114
ATOMIC_POSITIONS crystal
La 0.000 0.000 0.000
La 0.000 0.000 0.500
La 0.000 0.500 0.249
La 0.000 0.500 0.751
La 0.500 0.000 0.249
La 0.500 0.000 0.751
Cd 0.500 0.500 0.500
In 0.500 0.500 0.000


# 3
! NdSmCdPb | the Alexandria database | PBE | relaxed; values from VASP
! **DOS at the Fermi energy**: 0.86 states/eV/atom
! **Raw total energy**: -3.958 eV per atom
! **Crystal system**: cubic
! **Density**: 8.8 g cm⁻³
! **Symmetry**: F-43m, No. 216
! **Formation enthalpy at 0 K**: -0.43 eV/atom
! **Spin magnetization**: 0.00 μB per formula unit
&SYSTEM
  ibrav = 0, nat = 4, ntyp = 4
/
ATOMIC_SPECIES
Nd 144.24 Nd.upf
Sm 150.36 Sm.upf
Cd 112.41 Cd.upf
Pb 207.20 Pb.upf
CELL_PARAMETERS angstrom
0.000 3.865 3.865
3.865 0.000 3.865
3.865 3.865 0.000
ATOMIC_POSITIONS crystal
Nd 0.000 0.000 0.000
Sm 0.500 0.500 0.500
Cd 0.750 0.750 0.750
Pb 0.250 0.250 0.250


# 4
! ScCo2Au2 | the Alexandria database | PBE | relaxed; values from VASP
! **DOS at the Fermi energy**: 1.17 states/eV/atom
! **Offset from the most stable computed form**: 8 kJ/mol of formula units
! **Raw total energy**: -5.520 eV per atom
! **Crystal system**: tetragonal
! **Density**: 11.7 g cm⁻³
! **Symmetry**: P4/mbm, No. 127
! **Formation enthalpy at 0 K**: -0.10 eV/atom
! **Spin magnetization**: 2.28 μB per formula unit
&SYSTEM
  ibrav = 0, nat = 10, ntyp = 3
/
ATOMIC_SPECIES
Sc 44.96 Sc.upf
Co 58.93 Co.upf
Au 196.97 Au.upf
CELL_PARAMETERS angstrom
6.677 0.000 0.000
0.000 6.677 0.000
0.000 0.000 3.558
ATOMIC_POSITIONS crystal
Sc 0.000 0.000 0.000
Sc 0.500 0.500 0.000
Co 0.122 0.378 0.000
Co 0.378 0.878 0.000
Co 0.622 0.122 0.000
Co 0.878 0.622 0.000
Au 0.173 0.673 0.500
Au 0.327 0.173 0.500
Au 0.673 0.827 0.500
Au 0.827 0.327 0.500


# 5
! LiErLuIn | the Alexandria database | PBE | relaxed; values from VASP
! **DOS at the Fermi energy**: 0.68 states/eV/atom
! **Raw total energy**: -3.678 eV per atom
! **Crystal system**: cubic
! **Density**: 7.8 g cm⁻³
! **Symmetry**: F-43m, No. 216
! **Formation enthalpy at 0 K**: -0.24 eV/atom
! **Spin magnetization**: 0.00 μB per formula unit
&SYSTEM
  ibrav = 0, nat = 4, ntyp = 4
/
ATOMIC_SPECIES
Li 6.94 Li.upf
Er 167.26 Er.upf
Lu 174.97 Lu.upf
In 114.82 In.upf
CELL_PARAMETERS angstrom
0.000 3.672 3.672
3.672 0.000 3.672
3.672 3.672 0.000
ATOMIC_POSITIONS crystal
Li 0.000 0.000 0.000
Er 0.250 0.250 0.250
Lu 0.750 0.750 0.750
In 0.500 0.500 0.500


# 6
! CoHN | the Alexandria database | PBE | relaxed; values from VASP
! **DOS at the Fermi energy**: 0.37 states/eV/atom
! **Offset from the most stable computed form**: 13 kJ/mol of formula units
! **Raw total energy**: -6.045 eV per atom
! **Crystal system**: monoclinic
! **Density**: 4.6 g cm⁻³
! **Symmetry**: Cm, No. 8
! **Spin magnetization**: 0.69 μB per formula unit
&SYSTEM
  ibrav = 0, nat = 3, ntyp = 3
/
ATOMIC_SPECIES
Co 58.93 Co.upf
H 1.01 H.upf
N 14.01 N.upf
CELL_PARAMETERS angstrom
4.101 -1.306 0.000
4.101 1.306 0.000
-0.799 0.000 2.488
ATOMIC_POSITIONS crystal
Co 0.000 0.000 0.000
H 0.703 0.703 0.696
N 0.568 0.568 0.566


# 7
! Ac2TlRuO6 | the Alexandria database | PBE | relaxed; values from VASP
! **Raw total energy**: -7.057 eV per atom
! **Crystal system**: monoclinic
! **Formation energy (no corrections)**: -2.0966 eV per atom
! **Density**: 8.5 g cm⁻³
! **Symmetry**: P2_1/c, No. 14
! **Spin magnetization**: 3.01 μB per formula unit
&SYSTEM
  ibrav = 0, nat = 20, ntyp = 4
/
ATOMIC_SPECIES
Ac 227.00 Ac.upf
Tl 204.38 Tl.upf
Ru 101.07 Ru.upf
O 16.00 O.upf
CELL_PARAMETERS angstrom
5.827 0.000 0.000
0.000 6.536 0.000
-5.625 0.000 8.762
ATOMIC_POSITIONS crystal
Ac 0.217 0.043 0.231
Ac 0.217 0.457 0.731
Ac 0.783 0.543 0.269
Ac 0.783 0.957 0.769
Tl 0.000 0.000 0.500
Tl 0.000 0.500 0.000
Ru 0.500 0.000 0.000
Ru 0.500 0.500 0.500
O 0.181 0.148 0.976
O 0.181 0.352 0.476
O 0.248 0.737 0.388
O 0.248 0.763 0.888
O 0.428 0.109 0.802
O 0.428 0.391 0.302
O 0.572 0.609 0.698
O 0.572 0.891 0.198
O 0.752 0.237 0.112
O 0.752 0.263 0.612
O 0.819 0.648 0.524
O 0.819 0.852 0.024


# 8
! ErScCd | the Alexandria database | PBE | relaxed; values from VASP
! **DOS at the Fermi energy**: 1.20 states/eV/atom
! **Offset from the most stable computed form**: 24 kJ/mol of formula units
! **Raw total energy**: -4.035 eV per atom
! **Crystal system**: triclinic
! **Density**: 7.1 g cm⁻³
! **Symmetry**: P1, No. 1
! **Formation enthalpy at 0 K**: -0.10 eV/atom
! **Spin magnetization**: 0.00 μB per formula unit
&SYSTEM
  ibrav = 0, nat = 6, ntyp = 3
/
ATOMIC_SPECIES
Er 167.26 Er.upf
Sc 44.96 Sc.upf
Cd 112.41 Cd.upf
CELL_PARAMETERS angstrom
3.369 0.000 0.000
0.000 3.370 0.000
0.028 0.003 13.449
ATOMIC_POSITIONS crystal
Er 0.000 0.000 0.000
Er 0.499 0.501 0.522
Sc 0.000 0.002 0.343
Sc 0.500 0.501 0.179
Cd 0.499 0.499 0.834
Cd 0.999 0.000 0.688